[1]
A plane-wave DFT calculation with PBE was carried out for Yb5Ni19P12 after structural relaxation.

abc: 14.443 14.443 9.170
angles: 76.14 76.14 14.64
Fractional coordinates of all 36 atoms:
Ni 0.349 0.349 0.592
Ni 0.588 0.588 0.048
Ni 0.651 0.651 0.408
Ni 0.720 0.720 0.996
Ni 0.412 0.412 0.952
Ni 0.974 0.974 0.338
Ni 0.433 0.433 0.204
Ni 0.258 0.258 0.593
Ni 0.794 0.794 0.772
Ni 0.567 0.567 0.796
Ni 0.157 0.157 0.013
Ni 0.116 0.116 0.613
Ni 0.843 0.843 0.987
Ni 0.206 0.206 0.228
Ni 0.500 0.500 0.500
Ni 0.742 0.742 0.407
Ni 0.884 0.884 0.387
Ni 0.280 0.280 0.004
Ni 0.026 0.026 0.662
Yb 0.000 0.000 0.000
Yb 0.324 0.324 0.268
Yb 0.921 0.921 0.685
Yb 0.079 0.079 0.315
Yb 0.676 0.676 0.732
P 0.194 0.194 0.482
P 0.767 0.767 0.158
P 0.485 0.485 0.772
P 0.899 0.899 0.124
P 0.101 0.101 0.876
P 0.425 0.425 0.451
P 0.575 0.575 0.549
P 0.350 0.350 0.835
P 0.515 0.515 0.228
P 0.806 0.806 0.518
P 0.650 0.650 0.165
P 0.233 0.233 0.842

## Properties
* VASP energy: -5.877 eV/atom

***

[2]
A plane-wave DFT calculation with PBE was carried out for Tb3Pu2UAs6 after structural relaxation.

abc: 4.123 8.265 9.228
angles: 103.06 102.91 90.00
Fractional coordinates of all 12 atoms:
Pu 0.166 0.332 0.332
Pu 0.834 0.668 0.668
Tb 0.168 0.831 0.336
Tb 0.500 0.500 0.000
Tb 0.832 0.169 0.664
U 0.500 0.000 0.000
As 0.664 0.081 0.328
As 0.333 0.419 0.665
As 0.667 0.581 0.335
As 0.336 0.919 0.672
As 0.999 0.245 0.998
As 0.001 0.755 0.002

## Properties
* VASP energy: -8.050 eV/atom

***

[3]
A plane-wave DFT calculation with PBE was carried out for LiMnSb after structural relaxation.

abc: 4.503 4.503 3.209
angles: 90.00 90.00 120.00
Fractional coordinates of all 3 atoms:
Mn 0.667 0.333 0.382
Sb 0.333 0.667 0.660
Li 0.000 0.000 0.958

## Properties
* ΔE_f (raw): 0.0119 eV per atom
* VASP energy: -5.057 eV/atom

***

[4]
A plane-wave DFT calculation with PBE was carried out for CePrNi2P2 after structural relaxation.

abc: 3.964 3.964 8.033
angles: 90.00 90.00 120.00
Fractional coordinates of all 6 atoms:
Ce 0.000 0.000 0.500
Ni 0.667 0.333 0.266
Ni 0.333 0.667 0.734
P 0.333 0.667 0.253
P 0.667 0.333 0.747
Pr 0.000 0.000 0.000

## Properties
* VASP energy: -6.677 eV/atom